1.
Compound: Co3ReRh
Source: Alexandria via LeMat-Bulk
Functional: PBE
Structure: optimized geometry

Lattice parameters (Å, degrees): 4.4198 4.4198 4.4198 90.00 90.00 90.00
Each line ends with the local moment (μB).
Fractional coordinates of all 5 atoms:
Rh (0.0000, 0.0000, 0.0000)  1.05
Co (0.5000, 0.0000, 0.0000)  1.61
Co (0.0000, 0.0000, 0.5000)  2.34
Co (0.0000, 0.5000, 0.0000)  1.98
Re (0.5000, 0.5000, 0.5000)  2.48

Summary:
**DFT formation energy**: 9.3 eV per formula unit
**SG**: No. 221
**Raw total energy**: -6.356 eV per atom

2.
Compound: Pm6Bi3H
Source: Alexandria via LeMat-Bulk
Functional: PBE
Structure: optimized geometry

Lattice parameters (Å, degrees): 6.3997 9.9059 9.9059 104.84 90.00 90.00
Fractional coordinates of all 20 atoms:
Pm (0.2274, 0.0935, 0.5454)
Pm (0.2274, 0.4546, 0.9065)
Pm (0.6588, 0.6432, 0.7427)
Pm (0.0100, 0.0828, 0.9172)
Pm (0.7274, 0.5454, 0.0935)
Pm (0.2514, 0.7213, 0.2787)
Pm (0.6588, 0.2573, 0.3568)
Pm (0.5100, 0.9172, 0.0828)
Pm (0.7514, 0.2787, 0.7213)
Pm (0.1588, 0.3568, 0.2573)
Pm (0.1588, 0.7427, 0.6432)
Pm (0.7274, 0.9065, 0.4546)
Bi (0.5214, 0.2412, 0.0338)
Bi (0.3202, 0.4152, 0.5848)
Bi (0.0214, 0.7588, 0.9662)
Bi (0.0214, 0.0338, 0.2412)
Bi (0.5214, 0.9662, 0.7588)
Bi (0.8202, 0.5848, 0.4152)
H (0.0885, 0.2250, 0.7750)
H (0.5885, 0.7750, 0.2250)

Summary:
**SG**: No. 36
**Raw total energy**: -4.862 eV per atom